First-principles (GGA-PBEsol) data for crystalline CaCrIr2 at its relaxed geometry, as listed in Alexandria via LeMat-Bulk.

Computed properties:
Formation energy (eV per atom): 0.24
Total magnetization (μB per formula unit): 3.0
Distance to the lowest polymorph of the same formula (meV per atom): 328.9

a = 3.681 Å, b = 4.144 Å, c = 4.144 Å
α = 90.00°, β = 90.00°, γ = 90.00°
Atoms (fractional coordinates):
Ca: 0.500 0.500 0.500
Ir: 0.000 0.000 0.500
Ir: 0.000 0.500 0.000
Cr: 0.500 0.000 0.000